Record 1
CdGeAs2: single point on PBEsol structure, SCAN.

Calculated values
Space-group type: I-42d (122)
M_tot in μB/f.u.: 0.00
Energy relative to the elements in meV per atom: -122

Cell: 5.9436 5.9436 7.0406 Å, 114.97 114.97 90.00°
Fractional positions:
1 As 0.6250 0.5995 0.7500
2 As 0.8495 0.3750 0.2500
3 As 0.1250 0.1505 0.7500
4 As 0.4005 0.8750 0.2500
5 Ge 0.7500 0.2500 0.5000
6 Ge 0.5000 0.5000 0.0000
7 Cd 0.2500 0.7500 0.5000
8 Cd 0.0000 0.0000 0.0000


Record 2
Ba3GaP3: single point on PBEsol structure, SCAN.

Calculated values
Space-group type: Cmce (64)
M_tot in μB/f.u.: 0.00
Energy relative to the elements in meV per atom: -1108

Cell: 6.6638 10.2353 12.9513 Å, 90.00 90.00 109.00°
Fractional positions:
1 Ba 0.3654 0.3505 0.3704
2 Ba 0.0149 0.6495 0.3704
3 Ba 0.4851 0.3505 0.8704
4 Ba 0.1714 0.0000 0.6513
5 Ba 0.1346 0.6495 0.8704
6 Ba 0.6346 0.6495 0.6296
7 Ba 0.5149 0.6495 0.1296
8 Ba 0.9851 0.3505 0.6296
9 Ba 0.3286 0.0000 0.1513
10 Ba 0.6714 0.0000 0.8487
11 Ba 0.8286 0.0000 0.3487
12 Ba 0.8654 0.3505 0.1296
13 P 0.1989 0.0000 0.9048
14 P 0.1520 0.6867 0.6175
15 P 0.3011 0.0000 0.4048
16 P 0.6520 0.6867 0.8825
17 P 0.5347 0.6867 0.3825
18 P 0.3480 0.3133 0.1175
19 P 0.6989 0.0000 0.5952
20 P 0.9653 0.3133 0.8825
21 P 0.0347 0.6867 0.1175
22 P 0.8011 0.0000 0.0952
23 P 0.4653 0.3133 0.6175
24 P 0.8480 0.3133 0.3825
25 Ga 0.5838 0.1677 0.5000
26 Ga 0.0838 0.1677 0.0000
27 Ga 0.9162 0.8323 0.0000
28 Ga 0.4162 0.8323 0.5000


Record 3
CaTeO3: single point on PBEsol structure, SCAN.

Calculated values
Space-group type: Pm-3m (221)
ΔE_f (raw) in eV/atom: -1.65
M_tot in μB/f.u.: 0.00

Cell: 4.2086 4.2086 4.2086 Å, 90.00 90.00 90.00°
Fractional positions:
1 Te 0.5000 0.5000 0.5000
2 Ca 0.0000 0.0000 0.0000
3 O 0.5000 0.5000 0.0000
4 O 0.5000 0.0000 0.5000
5 O 0.0000 0.5000 0.5000


Record 4
CsPPbSe4: single point on PBEsol structure, SCAN.

Calculated values
Space-group type: Pnma (62)
ΔE_f (raw) in eV/atom: -0.66
M_tot in μB/f.u.: 0.00

Cell: 6.7727 6.9552 18.1756 Å, 90.00 90.00 90.00°
Fractional positions:
1 Cs 0.0146 0.2500 0.7141
2 Cs 0.9854 0.7500 0.2859
3 Cs 0.5146 0.7500 0.7859
4 Cs 0.4854 0.2500 0.2141
5 Se 0.9659 0.7500 0.6628
6 Se 0.4153 0.0045 0.6116
7 Se 0.1458 0.7500 0.4722
8 Se 0.4659 0.2500 0.8372
9 Se 0.3542 0.7500 0.9722
10 Se 0.5847 0.9955 0.3884
11 Se 0.9153 0.5045 0.8884
12 Se 0.8542 0.2500 0.5278
13 Se 0.5341 0.7500 0.1628
14 Se 0.0341 0.2500 0.3372
15 Se 0.5847 0.5045 0.3884
16 Se 0.9153 0.9955 0.8884
17 Se 0.6458 0.2500 0.0278
18 Se 0.0847 0.4955 0.1116
19 Se 0.4153 0.4955 0.6116
20 Se 0.0847 0.0045 0.1116
21 P 0.2734 0.7500 0.0902
22 P 0.2266 0.7500 0.5902
23 P 0.7734 0.2500 0.4098
24 P 0.7266 0.2500 0.9098
25 Pb 0.2799 0.2500 0.4781
26 Pb 0.7799 0.7500 0.0219
27 Pb 0.7201 0.7500 0.5219
28 Pb 0.2201 0.2500 0.9781


Record 5
Li4LaNi: single point on PBEsol structure, SCAN.

Calculated values
Space-group type: F-43m (216)
M_tot in μB/f.u.: 0.00
Energy relative to the elements in meV per atom: 185

Cell: 5.2652 5.2652 5.2652 Å, 60.00 60.00 60.00°
Fractional positions:
1 Li 0.3785 0.8645 0.3785
2 Li 0.3785 0.3785 0.3785
3 Li 0.3785 0.3785 0.8645
4 Li 0.8645 0.3785 0.3785
5 Ni 0.7500 0.7500 0.7500
6 La 0.0000 0.0000 0.0000


Record 6
LiOs2Au: single point on PBEsol structure, SCAN.

Calculated values
E above lowest polymorph in eV per atom: 0.177
Space-group type: Cmm2 (35)
M_tot in μB/f.u.: 0.72
Energy relative to the elements in meV per atom: 331

Cell: 2.6847 2.6847 9.2915 Å, 90.00 90.00 117.64°
Each line ends with the local moment (μB).
Fractional positions:
1 Li 0.5000 0.5000 0.2471  0.00
2 Au 0.0000 0.0000 0.4878  0.00
3 Os 0.5000 0.5000 0.7657  0.43
4 Os 0.0000 0.0000 0.9993  0.26